Record 1
CuReO3 after structural relaxation, computed with PBE.

Computed properties:
DOS(E_F) (states/eV/f.u.): 1.7
Volume (Å³ per atom): 11.4
Formation energy without anion corrections (eV per atom): -0.82

Cell lengths 3.8440, 3.8440, 3.8440 Å; angles 90.00, 90.00, 90.00 degrees
With the nearest neighbours (Å) after each atom.
Sites, in units of the cell vectors:
1 Cu 0.0000 0.0000 0.0000  12 O 2.72
2 Re 0.5000 0.5000 0.5000  6 O 1.92
3 O 0.0000 0.5000 0.5000  2 Re 1.92
4 O 0.5000 0.0000 0.5000  2 Re 1.92
5 O 0.5000 0.5000 0.0000  2 Re 1.92

Record 2
CuRe3O after structural relaxation, computed with PBE.

Computed properties:
DOS(E_F) (states/eV/f.u.): 9.5
Offset from the most stable computed form (meV/atom): 2242.9
Volume (Å³ per atom): 17.8
Formation energy without anion corrections (eV per atom): 2.85

Cell lengths 4.4670, 4.4670, 4.4670 Å; angles 90.00, 90.00, 90.00 degrees
With the nearest neighbours (Å) after each atom.
Sites, in units of the cell vectors:
1 Cu 0.0000 0.0000 0.0000  6 Re 2.23
2 Re 0.0000 0.0000 0.5000  2 Cu 2.23
3 Re 0.0000 0.5000 0.0000  2 Cu 2.23
4 Re 0.5000 0.0000 0.0000  2 Cu 2.23
5 O 0.5000 0.5000 0.5000  12 Re 3.16